PBE-GGA Pm3NdDy2Ho6, optimized geometry; symmetry = C2/m (12); N(E_F) = 1.2260 states/eV/atom; crystal system = monoclinic; formation enthalpy at 0 K = 0.188 eV per formula unit
1.0
-4.618 2.617 3.187
1.855 -5.740 1.391
8.587 5.351 6.053
Ho Dy Pm Nd
6 2 3 1
direct
0.251 0.251 0.751
0.083 0.417 0.249
0.417 0.083 0.249
0.917 0.583 0.751
0.749 0.749 0.249
0.583 0.917 0.751
0.333 0.667 0.000
0.667 0.333 0.000
0.167 0.833 0.500
0.833 0.167 0.500
0.500 0.500 0.500
0.000 0.000 0.000



PBE-GGA Pm2NdDy5Ho, optimized geometry; symmetry = I4/mcm (140); N(E_F) = 1.1732 states/eV/atom; crystal system = tetragonal; formation enthalpy at 0 K = 2.420 eV per formula unit
1.0
-8.590 1.619 -0.145
0.014 -0.707 -8.714
2.852 -8.021 5.041
Ho Dy Nd Pm
2 10 2 4
direct
0.750 0.250 0.500
0.250 0.750 0.500
0.000 0.000 0.000
0.847 0.928 0.274
0.500 0.500 0.000
0.428 0.347 0.274
0.928 0.428 0.274
0.572 0.653 0.726
0.153 0.072 0.726
0.347 0.847 0.274
0.653 0.153 0.726
0.072 0.572 0.726
0.750 0.750 0.500
0.250 0.250 0.500
0.884 0.616 0.000
0.384 0.884 0.000
0.116 0.384 0.000
0.616 0.116 0.000



PBE-GGA Pm2NdDy2Ho, optimized geometry; symmetry = Pnnm (58); N(E_F) = 1.6809 states/eV/atom; crystal system = orthorhombic; formation enthalpy at 0 K = 1.589 eV per formula unit
1.0
3.405 0.000 0.000
0.000 6.630 0.000
0.000 0.000 18.005
Nd Pm Ho Dy
2 4 2 4
direct
0.000 0.000 0.500
0.500 0.500 0.000
0.000 0.769 0.185
0.500 0.269 0.315
0.500 0.731 0.685
0.000 0.231 0.815
0.500 0.500 0.500
0.000 0.000 0.000
0.000 0.730 0.853
0.000 0.270 0.147
0.500 0.230 0.647
0.500 0.770 0.353



PBE-GGA Pm2Nd2Dy4Ho, optimized geometry; symmetry = C2/m (12); N(E_F) = 1.3377 states/eV/atom; crystal system = monoclinic; formation enthalpy at 0 K = 0.037 eV per formula unit
1.0
3.626 0.000 0.000
-1.813 9.399 -0.512
0.000 -3.711 8.905
Pm Ho Nd Dy
2 1 2 4
direct
0.853 0.706 0.337
0.147 0.294 0.663
0.000 0.000 0.000
0.665 0.330 0.001
0.335 0.670 0.999
0.185 0.369 0.335
0.519 0.038 0.332
0.815 0.631 0.665
0.481 0.962 0.668



PBE-GGA Pr2NdDy4Ho, optimized geometry; symmetry = Pmmm (47); N(E_F) = 1.3761 states/eV/atom; crystal system = orthorhombic; formation enthalpy at 0 K = 0.159 eV per formula unit
1.0
-1.846 3.853 2.823
3.038 -1.369 3.855
10.292 4.710 0.301
Dy Pr Nd Ho
4 2 1 1
direct
0.000 0.248 0.252
0.000 0.752 0.748
0.500 0.748 0.252
0.500 0.252 0.748
0.500 0.000 0.500
0.000 0.000 0.000
0.500 0.500 0.000
0.000 0.500 0.500



PBE-GGA PrNd2Dy3Ho6, optimized geometry; symmetry = C2/m (12); N(E_F) = 1.2850 states/eV/atom; crystal system = monoclinic; formation enthalpy at 0 K = 0.224 eV per formula unit
1.0
-5.155 3.237 1.125
0.845 -5.506 2.699
6.653 5.952 7.701
Dy Ho Nd Pr
3 6 2 1
direct
0.833 0.167 0.500
0.500 0.500 0.500
0.167 0.833 0.500
0.085 0.419 0.254
0.752 0.752 0.254
0.581 0.915 0.746
0.915 0.581 0.746
0.248 0.248 0.746
0.419 0.085 0.254
0.667 0.333 0.000
0.333 0.667 0.000
0.000 0.000 0.000



PBE-GGA Pr2NdDy3Ho6, optimized geometry; symmetry = C2/m (12); N(E_F) = 1.2861 states/eV/atom; crystal system = monoclinic; formation enthalpy at 0 K = 0.232 eV per formula unit
1.0
-6.025 -0.256 -1.420
2.958 -5.111 1.873
-1.684 4.257 10.873
Ho Dy Pr Nd
6 3 2 1
direct
0.248 0.248 0.746
0.581 0.914 0.746
0.086 0.419 0.254
0.752 0.752 0.254
0.914 0.581 0.746
0.419 0.086 0.254
0.833 0.167 0.500
0.167 0.833 0.500
0.500 0.500 0.500
0.333 0.667 0.000
0.667 0.333 0.000
0.000 0.000 0.000



PBE-GGA Pr6Nd3Dy2Ho, optimized geometry; symmetry = C2/m (12); N(E_F) = 1.3355 states/eV/atom; crystal system = monoclinic; formation enthalpy at 0 K = 0.165 eV per formula unit
1.0
-6.282 -0.247 -0.974
3.046 -5.033 2.421
-0.786 5.908 10.486
Pr Dy Nd Ho
6 2 3 1
direct
0.416 0.082 0.246
0.918 0.584 0.754
0.749 0.749 0.246
0.082 0.416 0.246
0.251 0.251 0.754
0.584 0.918 0.754
0.667 0.333 0.000
0.333 0.667 0.000
0.167 0.833 0.500
0.500 0.500 0.500
0.833 0.167 0.500
0.000 0.000 0.000



Number 1: calculated density 8.160 g/cm³. Number 2: calculated density 7.941 g/cm³. Number 3: calculated density 7.551 g/cm³. Number 4: calculated density 7.801 g/cm³. Number 5: calculated density 7.811 g/cm³. Number 6: calculated density 8.215 g/cm³. Number 7: calculated density 8.181 g/cm³. Number 8: calculated density 7.056 g/cm³.